[1]
Below is DyTlO3 after structural relaxation, with properties calculated at the PBE level.

The total magnetization comes out at 0.000 μB per atom. For the uncorrected formation energy, the calculation gives -2.08 eV/atom. The volume comes out at 299.1 Å³ per cell.

The structure belongs to space group Cmcm (No. 63); the cell edges are 3.584, 14.157 and 5.895 Å and the angles 90.00°, 90.00° and 90.00°. The inequivalent atoms are Dy at (0.000, 0.194, 0.250), Tl at (0.000, 0.441, 0.250), O at (0.000, 0.028, 0.250) and O at (0.000, 0.326, 0.000).



[2]
Below is TaMo6S8 after structural relaxation, with properties calculated at the PBE level.

Its density of states at the Fermi level is 5.00 states/eV/f.u. The total magnetization comes out at 0.068 μB per atom. For the uncorrected formation energy, the calculation gives -0.59 eV/atom. The volume comes out at 771.4 Å³ per cell.

The structure belongs to space group R-3 (No. 148, hexagonal axes); the cell edges are 9.0050, 9.0050 and 10.9844 Å and the angles 90.00°, 90.00° and 120.00°. The inequivalent atoms are Ta at (0.0000, 0.0000, 0.0000), Mo at (0.0239, 0.8414, 0.3974), S at (0.0000, 0.0000, 0.2276) and S at (0.0146, 0.3977, 0.7479).